The following is a DFT calculation (GGA-PBE) of a relaxed Si2RhSe crystal.

Cell lengths 4.0557, 4.0557, 5.9309 Å; angles 69.05, 69.05, 49.09 degrees
Fractional positions:
Se 0.3033 0.3033 0.2803
Si 0.9571 0.9571 0.9317
Rh 0.4993 0.4993 0.5529
Si 0.7403 0.7403 0.7352

Results
As for the volume: 68 Å³ per cell. The crystal system is monoclinic. The energy relative to the elements, uncorrected is -0.11 eV per atom. Its space group is Cm (8).

The following is a DFT calculation (GGA-PBE) of a relaxed PmSmGdTl crystal.

Cell lengths 5.5536, 5.5536, 5.5536 Å; angles 60.00, 60.00, 60.00 degrees
Fractional positions:
Sm 0.7500 0.7500 0.7500
Pm 0.5000 0.5000 0.5000
Gd 0.2500 0.2500 0.2500
Tl 0.0000 0.0000 0.0000

Results
As for the volume: 121 Å³ per cell. For the energy of formation from the pure elements, the calculation gives -0.21 eV per formula unit. The crystal system is cubic. Its space group is F-43m (216).

The following is a DFT calculation (GGA-PBE) of a relaxed CrSiPb crystal.

Cell lengths 4.0952, 4.0952, 3.8260 Å; angles 90.00, 90.00, 120.00 degrees
Fractional positions:
Si 0.3333 0.6667 0.8334
Cr 0.0000 0.0000 0.8333
Pb 0.6667 0.3333 0.3333

Results
As for the volume: 56 Å³ per cell. The crystal system is hexagonal. The energy relative to the elements, uncorrected is 0.56 eV per atom. For the energy above the most stable polymorph in this dataset, the calculation gives 203 meV/atom. Its space group is P-6m2 (187).